{
  "formula": "Sc4Ga3Ru",
  "functional": "GGA-PBE",
  "state": "optimized geometry",
  "lattice_angstrom": [[3.292, 0.000, 0.000], [0.000, 3.292, 0.000], [0.000, 0.000, 13.531]],
  "species": ["Sc", "Sc", "Sc", "Sc", "Ga", "Ga", "Ga", "Ru"],
  "fractional_positions": [[0.000, 0.000, 0.887], [0.000, 0.000, 0.113], [0.000, 0.000, 0.631], [0.000, 0.000, 0.369], [0.500, 0.500, 0.760], [0.500, 0.500, 0.500], [0.500, 0.500, 0.240], [0.500, 0.500, 0.000]],
  "m_tot_mub_per_fu": 0.0,
  "de_polymorph_ev_per_fu": 0.00
}

{
  "formula": "Sc4GaRu2",
  "functional": "GGA-PBE",
  "state": "optimized geometry",
  "lattice_angstrom": [[4.537, 0.000, 0.000], [0.000, 4.537, 0.000], [0.000, 0.000, 6.529]],
  "species": ["Sc", "Sc", "Sc", "Sc", "Ru", "Ru", "Ga"],
  "fractional_positions": [[0.500, 0.000, 0.743], [0.500, 0.000, 0.257], [0.000, 0.500, 0.743], [0.000, 0.500, 0.257], [0.000, 0.000, 0.000], [0.500, 0.500, 0.500], [0.500, 0.500, 0.000]],
  "m_tot_mub_per_fu": 0.0,
  "de_polymorph_ev_per_fu": 0.00
}

{
  "formula": "ScGaRu2",
  "functional": "GGA-PBE",
  "state": "optimized geometry",
  "lattice_angstrom": [[3.156, 0.000, 0.000], [0.000, 3.156, 0.000], [0.000, 0.000, 6.153]],
  "species": ["Ru", "Ru", "Ga", "Sc"],
  "fractional_positions": [[0.000, 0.000, 0.229], [0.000, 0.000, 0.771], [0.500, 0.500, 0.000], [0.500, 0.500, 0.500]],
  "m_tot_mub_per_fu": 0.0
}

{
  "formula": "ScGa4Ru3",
  "functional": "GGA-PBE",
  "state": "optimized geometry",
  "lattice_angstrom": [[4.387, 0.000, 0.000], [0.000, 6.279, 0.000], [0.000, 0.000, 8.698]],
  "species": ["Sc", "Sc", "Ga", "Ga", "Ga", "Ga", "Ga", "Ga", "Ga", "Ga", "Ru", "Ru", "Ru", "Ru", "Ru", "Ru"],
  "fractional_positions": [[0.000, 0.500, 0.500], [0.000, 0.500, 0.000], [0.500, 0.773, 0.000], [0.995, 0.225, 0.250], [0.005, 0.775, 0.750], [0.500, 0.227, 0.000], [0.500, 0.227, 0.500], [0.500, 0.773, 0.500], [0.995, 0.775, 0.250], [0.005, 0.225, 0.750], [0.503, 0.000, 0.250], [0.497, 0.000, 0.750], [0.000, 0.000, 0.000], [0.454, 0.500, 0.250], [0.546, 0.500, 0.750], [0.000, 0.000, 0.500]],
  "m_tot_mub_per_fu": 0.0
}

{
  "formula": "Sc4Ga3Ru",
  "functional": "GGA-PBE",
  "state": "optimized geometry",
  "lattice_angstrom": [[3.438, 0.000, 0.000], [0.000, 4.275, 0.000], [0.000, 0.000, 10.440]],
  "species": ["Sc", "Sc", "Sc", "Sc", "Ga", "Ga", "Ga", "Ru"],
  "fractional_positions": [[0.500, 0.000, 0.658], [0.000, 0.500, 0.864], [0.500, 0.500, 0.332], [0.000, 0.000, 0.144], [0.500, 0.000, 0.924], [0.000, 0.500, 0.577], [0.000, 0.000, 0.425], [0.500, 0.500, 0.076]],
  "m_tot_mub_per_fu": 0.0,
  "de_polymorph_ev_per_fu": 0.54
}

{
  "formula": "ScGa2Ru",
  "functional": "GGA-PBE",
  "state": "optimized geometry",
  "lattice_angstrom": [[-0.145, -2.790, 1.386], [2.903, 0.382, 1.072], [-2.434, 2.890, 5.564]],
  "species": ["Sc", "Ga", "Ga", "Ru"],
  "fractional_positions": [[0.500, 0.500, 0.500], [0.000, 0.000, 0.209], [0.000, 0.000, 0.791], [0.500, 0.500, 0.000]],
  "m_tot_mub_per_fu": 0.5
}

{
  "formula": "Sc2Ga3Ru3",
  "functional": "GGA-PBE",
  "state": "optimized geometry",
  "lattice_angstrom": [[4.296, 0.000, 0.000], [0.000, 4.341, 0.000], [0.000, 0.000, 6.735]],
  "species": ["Sc", "Sc", "Ga", "Ga", "Ga", "Ru", "Ru", "Ru"],
  "fractional_positions": [[0.000, 0.000, 0.737], [0.000, 0.000, 0.263], [0.500, 0.000, 0.000], [0.500, 0.500, 0.272], [0.500, 0.500, 0.728], [0.500, 0.000, 0.500], [0.000, 0.500, 0.000], [0.000, 0.500, 0.500]],
  "m_tot_mub_per_fu": 0.0
}

{
  "formula": "ScGa2Ru",
  "functional": "GGA-PBE",
  "state": "optimized geometry",
  "lattice_angstrom": [[1.801, 1.214, 3.894], [-0.886, 4.022, 1.709], [-2.568, 0.365, 3.626]],
  "species": ["Ru", "Sc", "Ga", "Ga"],
  "fractional_positions": [[0.500, 0.500, 0.500], [0.000, 0.000, 0.000], [0.750, 0.750, 0.750], [0.250, 0.250, 0.250]],
  "m_tot_mub_per_fu": 0.0
}

Calculated volume, 18.33 19.20 15.32 14.98 19.18 16.35 15.70 15.67 Å³ per atom (same order as the records).
Calculated total energy, -6.1008 -7.1723 -7.4147 -6.1786 -6.0329 -5.8725 -6.6599 -5.9442 eV per atom (same order as the records).